Compound: PuHfGa
Source: the Alexandria database
Functional: PBE-GGA
Structure: optimized geometry

Summary:
Its symmetry is P3m1. The calculation puts the energy of formation at -0.07 eV per atom. The total energy is -27.5 eV/cell. The distance to the lowest polymorph of the same formula is 87 meV per atom. The value obtained for the total moment is 5.42 Bohr magnetons per cell.

```
PuHfGa
1.0
-2.4746 -0.0149 -2.0537
-3.0402 -0.9868 3.6703
0.9595 4.6208 -1.1898
Hf Ga Pu
1 1 1
Direct
0.4982 0.3333 0.6667 Hf
0.5023 0.6667 0.3333 Ga
0.9996 0.0000 0.0000 Pu
```